Record 1
Entry from the Alexandria database: crystalline Mn2BeCu at its relaxed geometry (PBE).

Properties
The value obtained for the energy of formation from the pure elements is 0.190 eV per atom.

The structure in CIF format:
```
data_Mn2BeCu
_space_group_name_H-M_alt 'P 1'
_space_group_IT_number 1
_space_group_name_Hall 'P 1'
_cell_length_a 8.303
_cell_length_b 8.303
_cell_length_c 8.303
_cell_angle_alpha 17.05
_cell_angle_beta 17.05
_cell_angle_gamma 17.05
loop_
_atom_site_label
_atom_site_type_symbol
_atom_site_fract_x
_atom_site_fract_y
_atom_site_fract_z
_atom_site_occupancy
Mn1 Mn 0.245 0.245 0.245 1
Mn2 Mn 0.755 0.755 0.755 1
Be1 Be 0.500 0.500 0.500 1
Cu1 Cu 0.000 0.000 0.000 1
```

***

Record 2
Entry from the Alexandria database: crystalline Ta2HgI at its relaxed geometry (PBE).

Properties
Its energy above the most stable polymorph in this dataset is 115 meV/atom. For the formation energy from raw total energies, the calculation gives 970.9 meV per atom.

The structure in CIF format:
```
data_Ta2HgI
_space_group_name_H-M_alt 'P 1'
_space_group_IT_number 1
_space_group_name_Hall 'P 1'
_cell_length_a 10.589
_cell_length_b 10.589
_cell_length_c 10.589
_cell_angle_alpha 156.83
_cell_angle_beta 156.83
_cell_angle_gamma 33.00
loop_
_atom_site_label
_atom_site_type_symbol
_atom_site_fract_x
_atom_site_fract_y
_atom_site_fract_z
_atom_site_occupancy
Ta1 Ta 0.105 0.625 0.980 1
Ta2 Ta 0.375 0.355 0.480 1
Ta3 Ta 0.645 0.125 0.020 1
Ta4 Ta 0.875 0.895 0.520 1
Hg1 Hg 0.000 0.000 0.000 1
Hg2 Hg 0.750 0.250 0.500 1
I1 I 0.250 0.750 0.500 1
I2 I 0.500 0.500 0.000 1
```

***

Record 3
Entry from the Alexandria database: crystalline Ce3IrPb2 at its relaxed geometry (PBE).

Properties
The value obtained for the energy of formation from the pure elements is -0.422 eV per atom.

The structure in CIF format:
```
data_Ce3IrPb2
_space_group_name_H-M_alt 'P 1'
_space_group_IT_number 1
_space_group_name_Hall 'P 1'
_cell_length_a 7.040
_cell_length_b 7.040
_cell_length_c 8.110
_cell_angle_alpha 97.58
_cell_angle_beta 97.58
_cell_angle_gamma 113.44
loop_
_atom_site_label
_atom_site_type_symbol
_atom_site_fract_x
_atom_site_fract_y
_atom_site_fract_z
_atom_site_occupancy
Ce1 Ce 0.046 0.415 0.774 1
Ce2 Ce 0.188 0.188 0.190 1
Ce3 Ce 0.415 0.046 0.774 1
Ce4 Ce 0.585 0.954 0.226 1
Ce5 Ce 0.812 0.812 0.810 1
Ce6 Ce 0.954 0.585 0.226 1
Ir1 Ir 0.181 0.819 0.000 1
Ir2 Ir 0.819 0.181 0.000 1
Pb1 Pb 0.000 0.000 0.500 1
Pb2 Pb 0.367 0.633 0.500 1
Pb3 Pb 0.500 0.500 0.000 1
Pb4 Pb 0.633 0.367 0.500 1
```

***

Record 4
Entry from the Alexandria database: crystalline NaCaLaRh2 at its relaxed geometry (PBE).

Properties
Its energy above the most stable polymorph in this dataset is 389 meV/atom. The value obtained for the energy of formation from the pure elements is 0.735 eV per atom.

The structure in CIF format:
```
data_NaCaLaRh2
_space_group_name_H-M_alt 'P 1'
_space_group_IT_number 1
_space_group_name_Hall 'P 1'
_cell_length_a 4.975
_cell_length_b 4.975
_cell_length_c 4.963
_cell_angle_alpha 90.00
_cell_angle_beta 90.00
_cell_angle_gamma 90.00
loop_
_atom_site_label
_atom_site_type_symbol
_atom_site_fract_x
_atom_site_fract_y
_atom_site_fract_z
_atom_site_occupancy
Na1 Na 0.000 0.000 0.000 1
Ca1 Ca 0.500 0.500 0.500 1
La1 La 0.000 0.000 0.500 1
Rh1 Rh 0.000 0.500 0.000 1
Rh2 Rh 0.500 0.000 0.000 1
```

***

Record 5
Entry from the Alexandria database: crystalline Mn2FeCu at its relaxed geometry (PBE).

Properties
Its energy above the most stable polymorph in this dataset is 73 meV/atom. The value obtained for the energy of formation from the pure elements is 0.182 eV per atom.

The structure in CIF format:
```
data_Mn2FeCu
_space_group_name_H-M_alt 'P 1'
_space_group_IT_number 1
_space_group_name_Hall 'P 1'
_cell_length_a 2.516
_cell_length_b 3.619
_cell_length_c 5.048
_cell_angle_alpha 90.00
_cell_angle_beta 90.00
_cell_angle_gamma 90.00
loop_
_atom_site_label
_atom_site_type_symbol
_atom_site_fract_x
_atom_site_fract_y
_atom_site_fract_z
_atom_site_occupancy
Mn1 Mn 0.000 0.000 0.244 1
Mn2 Mn 0.000 0.000 0.756 1
Fe1 Fe 0.500 0.500 0.000 1
Cu1 Cu 0.500 0.500 0.500 1
```

***

Record 6
Entry from the Alexandria database: crystalline Ca2OsCSe at its relaxed geometry (PBE).

Properties
Its energy above the most stable polymorph in this dataset is 1218 meV/atom. For the formation energy from raw total energies, the calculation gives 831.4 meV per atom.

The structure in CIF format:
```
data_Ca2OsCSe
_space_group_name_H-M_alt 'P 1'
_space_group_IT_number 1
_space_group_name_Hall 'P 1'
_cell_length_a 5.010
_cell_length_b 5.010
_cell_length_c 4.085
_cell_angle_alpha 90.00
_cell_angle_beta 90.00
_cell_angle_gamma 90.00
loop_
_atom_site_label
_atom_site_type_symbol
_atom_site_fract_x
_atom_site_fract_y
_atom_site_fract_z
_atom_site_occupancy
Ca1 Ca 0.000 0.500 0.000 1
Ca2 Ca 0.500 0.000 0.000 1
Os1 Os 0.000 0.000 0.500 1
C1 C 0.500 0.500 0.000 1
Se1 Se 0.500 0.500 0.500 1
```

***

Record 7
Entry from the Alexandria database: crystalline PuScBe17 at its relaxed geometry (PBE).

Properties
The value obtained for the energy of formation from the pure elements is -0.103 eV per atom.

The structure in CIF format:
```
data_PuScBe17
_space_group_name_H-M_alt 'P 1'
_space_group_IT_number 1
_space_group_name_Hall 'P 1'
_cell_length_a 5.753
_cell_length_b 5.753
_cell_length_c 5.753
_cell_angle_alpha 82.99
_cell_angle_beta 82.99
_cell_angle_gamma 82.99
loop_
_atom_site_label
_atom_site_type_symbol
_atom_site_fract_x
_atom_site_fract_y
_atom_site_fract_z
_atom_site_occupancy
Pu1 Pu 0.000 0.000 0.000 1
Sc1 Sc 0.680 0.680 0.680 1
Be1 Be 0.058 0.343 0.625 1
Be2 Be 0.058 0.625 0.343 1
Be3 Be 0.188 0.681 0.681 1
Be4 Be 0.245 0.245 0.245 1
Be5 Be 0.341 0.341 0.842 1
Be6 Be 0.341 0.842 0.341 1
Be7 Be 0.343 0.058 0.625 1
Be8 Be 0.343 0.625 0.058 1
Be9 Be 0.438 0.438 0.438 1
Be10 Be 0.497 0.999 0.999 1
Be11 Be 0.625 0.058 0.343 1
Be12 Be 0.625 0.343 0.058 1
Be13 Be 0.681 0.188 0.681 1
Be14 Be 0.681 0.681 0.188 1
Be15 Be 0.842 0.341 0.341 1
Be16 Be 0.999 0.497 0.999 1
Be17 Be 0.999 0.999 0.497 1
```

***

Record 8
Entry from the Alexandria database: crystalline CaFeAg2 at its relaxed geometry (PBE).

Properties
Its energy above the most stable polymorph in this dataset is 64 meV/atom. The value obtained for the energy of formation from the pure elements is 0.264 eV per atom.

The structure in CIF format:
```
data_CaFeAg2
_space_group_name_H-M_alt 'P 1'
_space_group_IT_number 1
_space_group_name_Hall 'P 1'
_cell_length_a 5.452
_cell_length_b 5.452
_cell_length_c 4.799
_cell_angle_alpha 115.71
_cell_angle_beta 115.71
_cell_angle_gamma 38.77
loop_
_atom_site_label
_atom_site_type_symbol
_atom_site_fract_x
_atom_site_fract_y
_atom_site_fract_z
_atom_site_occupancy
Ca1 Ca 0.000 0.000 0.000 1
Fe1 Fe 0.500 0.500 0.500 1
Ag1 Ag 0.221 0.221 0.720 1
Ag2 Ag 0.779 0.779 0.280 1
```

***

Computed density of states at the Fermi level (states/eV/cell) in order:
4.3, 7.6, 33.8, 3.1, 4.0, 3.7, 9.7, 4.1
Computed theoretical density (g/cm³) in order:
7.1, 12.5, 9.5, 5.5, 8.3, 5.9, 3.9, 6.5